Entry 1:
Entry from Alexandria: a geometry-optimized NbSiTc2 structure (PBE).

Properties
formation energy from raw total energies	-460	meV per atom
space-group type	No. 63
uncorrected energy	-9.52	eV/atom

Geometry as extended XYZ:
```
8
Lattice="1.6095 -4.9046 0.0000 1.6095 4.9046 0.0000 0.0000 0.0000 7.5617" Properties=species:S:1:pos:R:3 pbc="T T T"
Nb 1.6095 4.3561 5.6713
Nb 1.6095 -4.3561 1.8904
Si 1.6095 2.6755 1.8904
Si 1.6095 -2.6755 5.6713
Tc 1.6095 1.3258 4.0838
Tc 1.6095 1.3258 7.2588
Tc 1.6095 -1.3258 0.3029
Tc 1.6095 -1.3258 3.4780
```

=====

Entry 2:
Entry from Alexandria: a geometry-optimized NbSi2Tc structure (PBE).

Properties
formation energy from raw total energies	100	meV per atom
space-group type	No. 122
uncorrected energy	-7.72	eV/atom
polymorph energy (0 for the lowest one)	0.384	eV per atom

Geometry as extended XYZ:
```
8
Lattice="-1.8865 1.8865 9.0384 1.8865 -1.8865 9.0384 1.8865 1.8865 -9.0384" Properties=species:S:1:pos:R:3 pbc="T T T"
Nb 0.0000 0.0000 0.0000
Nb 0.0000 1.8865 4.5192
Si 0.9432 -0.8664 6.7788
Si 1.0201 0.9432 2.2596
Si 0.9432 2.7529 -2.2596
Si 0.8664 0.9432 11.2979
Tc 1.8865 0.0000 4.5192
Tc 0.0000 0.0000 9.0384
```

=====

Entry 3:
Entry from Alexandria: a geometry-optimized Nb3SiTc structure (PBE).

Properties
formation energy from raw total energies	888	meV per atom
space-group type	No. 221
uncorrected energy	-8.31	eV/atom
polymorph energy (0 for the lowest one)	0.000	eV per atom

Geometry as extended XYZ:
```
5
Lattice="4.6057 0.0000 0.0000 0.0000 4.6057 0.0000 0.0000 0.0000 4.6057" Properties=species:S:1:pos:R:3 pbc="T T T"
Nb 0.0000 0.0000 2.3029
Nb 0.0000 2.3029 0.0000
Nb 2.3029 0.0000 0.0000
Si 0.0000 0.0000 0.0000
Tc 2.3029 2.3029 2.3029
```

=====

Entry 4:
Entry from Alexandria: a geometry-optimized ThNbSi2Tc structure (PBE).

Properties
formation energy from raw total energies	-636	meV per atom
space-group type	No. 119
uncorrected energy	-8.38	eV/atom

Geometry as extended XYZ:
```
5
Lattice="-2.0444 2.0444 5.5958 2.0444 -2.0444 5.5958 2.0444 2.0444 -5.5958" Properties=species:S:1:pos:R:3 pbc="T T T"
Th 0.0000 0.0000 0.0000
Nb 2.0444 0.0000 2.7979
Si 0.0000 0.0000 4.3603
Si 0.0000 0.0000 6.8313
Tc 0.0000 2.0444 2.7979
```

=====

Entry 5:
Entry from Alexandria: a geometry-optimized NbSi2Te8 structure (PBE).

Properties
formation energy from raw total energies	-43	meV per atom
space-group type	No. 12
uncorrected energy	-4.23	eV/atom

Geometry as extended XYZ:
```
11
Lattice="5.3981 -5.5943 0.0000 5.3981 5.5943 0.0000 -0.2833 0.0000 6.2633" Properties=species:S:1:pos:R:3 pbc="T T T"
Nb 0.0000 0.0000 0.0000
Si 2.2022 0.0000 2.8254
Si 8.3108 0.0000 3.4379
Te 4.3119 3.6325 4.3391
Te 2.3406 0.0000 5.3895
Te 6.2010 3.6325 1.9242
Te 4.5618 0.0000 1.8450
Te 5.9512 0.0000 4.4183
Te 4.3119 -3.6325 4.3391
Te 8.1724 0.0000 0.8738
Te 6.2010 -3.6325 1.9242
```

=====

Entry 6:
Entry from Alexandria: a geometry-optimized Nb4SiTe5 structure (PBE).

Properties
formation energy from raw total energies	-375	meV per atom
space-group type	No. 12
uncorrected energy	-6.52	eV/atom

Geometry as extended XYZ:
```
10
Lattice="8.6022 -1.8375 0.0000 8.6022 1.8375 0.0000 -1.7806 0.0000 7.7735" Properties=species:S:1:pos:R:3 pbc="T T T"
Nb -0.4881 0.0000 2.2617
Nb 5.3668 0.0000 3.2924
Nb 10.0570 0.0000 4.4811
Nb 15.9119 0.0000 5.5118
Si 7.7119 0.0000 3.8867
Te 1.2881 0.0000 6.5997
Te 2.4270 0.0000 2.5526
Te 8.6022 0.0000 0.0000
Te 12.9968 0.0000 5.2209
Te 14.1357 0.0000 1.1738
```